(1)
First-principles (PBE) data for a geometry-optimized Re2MoBr structure, as listed in Alexandria.

## Properties
For the uncorrected energy, the calculation gives -8.5379 eV per atom. For the raw formation energy, the calculation gives 0.812 eV per atom.

```
Re2MoBr
1.0
-1.6463 -1.7556 -1.4805
0.3419 -0.6600 2.7262
-7.4966 5.1794 2.1941
Re Mo Br
2 1 1
Direct
0.5000 0.5000 0.2246 Re
0.0000 0.0000 0.9981 Re
0.5000 0.5000 0.7631 Mo
0.0000 0.0000 0.5142 Br
```

=====

(2)
First-principles (PBE) data for a geometry-optimized ReMoBr structure, as listed in Alexandria.

## Properties
For the uncorrected energy, the calculation gives -7.3783 eV per atom. For the raw formation energy, the calculation gives 0.939 eV per atom.

```
ReMoBr
1.0
4.3276 0.0000 0.0000
-2.1638 3.7478 0.0000
0.0000 0.0000 2.9938
Mo Br Re
1 1 1
Direct
0.3333 0.6667 0.2504 Mo
0.0000 0.0000 0.9843 Br
0.6667 0.3333 0.7653 Re
```

=====

What is the uncorrected energy in the second record?
-7.3783 eV per atom